Entry 1:
A plane-wave DFT calculation with PBE-GGA was carried out for a relaxed Rb2AuF4 crystal.

Structure (POSCAR):
```
Rb2AuF4
1.0
7.200 0.000 0.000
0.000 5.893 0.000
-3.004 0.000 6.600
Rb Au F
4 2 8
direct
0.015 0.250 0.359 Rb
0.359 0.250 0.022 Rb
0.641 0.750 0.978 Rb
0.985 0.750 0.641 Rb
0.351 0.750 0.350 Au
0.649 0.250 0.650 Au
0.029 0.750 0.277 F
0.280 0.750 0.031 F
0.372 0.000 0.625 F
0.372 0.500 0.625 F
0.628 0.000 0.375 F
0.628 0.500 0.375 F
0.720 0.250 0.969 F
0.971 0.250 0.723 F
```

Computed properties:
Offset from the most stable computed form (meV/atom): 130
V (Å³/atom): 20.01
Uncorrected formation energy (meV/atom): -1860
Spin magnetization (Bohr magnetons per cell): 2.07

---

Entry 2:
A plane-wave DFT calculation with PBE-GGA was carried out for a relaxed ScAlCl2 crystal.

Structure (POSCAR):
```
ScAlCl2
1.0
6.595 -1.618 0.000
6.595 1.618 0.000
-1.124 0.000 5.045
Sc Al Cl
1 1 2
direct
0.000 0.000 0.000 Sc
0.500 0.500 0.500 Al
0.352 0.352 0.800 Cl
0.648 0.648 0.200 Cl
```

Computed properties:
Offset from the most stable computed form (meV/atom): 45
V (Å³/atom): 26.92
Uncorrected formation energy (meV/atom): -986
Spin magnetization (Bohr magnetons per cell): 0.00

---

Entry 3:
A plane-wave DFT calculation with PBE-GGA was carried out for a relaxed CePaHgSb crystal.

Structure (POSCAR):
```
CePaHgSb
1.0
0.000 3.786 3.786
3.786 0.000 3.786
3.786 3.786 0.000
Ce Pa Hg Sb
1 1 1 1
direct
0.000 0.000 0.000 Ce
0.500 0.500 0.500 Pa
0.750 0.750 0.750 Hg
0.250 0.250 0.250 Sb
```

Computed properties:
V (Å³/atom): 27.12
Uncorrected formation energy (meV/atom): -253
Spin magnetization (Bohr magnetons per cell): 3.51

---

Entry 4:
A plane-wave DFT calculation with PBE-GGA was carried out for a relaxed AcPm12Ru7 crystal.

Structure (POSCAR):
```
AcPm12Ru7
1.0
7.099 4.099 3.348
-7.099 4.099 3.348
0.000 -8.198 3.348
Ac Pm Ru
1 12 7
direct
0.000 0.000 0.000 Ac
0.070 0.259 0.721 Pm
0.156 0.445 0.391 Pm
0.259 0.721 0.070 Pm
0.279 0.930 0.741 Pm
0.391 0.156 0.445 Pm
0.445 0.391 0.156 Pm
0.555 0.609 0.844 Pm
0.609 0.844 0.555 Pm
0.721 0.070 0.259 Pm
0.741 0.279 0.930 Pm
0.844 0.555 0.609 Pm
0.930 0.741 0.279 Pm
0.052 0.099 0.398 Ru
0.099 0.398 0.052 Ru
0.398 0.052 0.099 Ru
0.500 0.500 0.500 Ru
0.602 0.948 0.901 Ru
0.901 0.602 0.948 Ru
0.948 0.901 0.602 Ru
```

Computed properties:
V (Å³/atom): 29.23
Total DFT energy (no corrections) (eV per cell): -128.09
Spin magnetization (Bohr magnetons per cell): 0.00